Record 1
Computed, not measured: crystalline ScTcRh2 at its relaxed geometry at the GGA-PBE level of DFT.

Output
- total moment (μB/cell) = 0.00
- crystal system = orthorhombic
- E above lowest polymorph (eV/atom) = 0.044
- DFT formation energy (kJ/mol of atoms) = -34

a b c (Å): 2.8484 3.8077 5.7088
angles (deg): 90.00 90.00 90.00
Space group Pmmm (No. 47)
Symmetry-distinct sites (fractional):
Sc 0.0000 0.0000 0.0000 x1
Tc 0.0000 0.0000 0.5000 x1
Rh 0.5000 0.5000 0.2642 x2


Record 2
Computed, not measured: crystalline TlPHS2 at its relaxed geometry at the GGA-PBE level of DFT.

Output
- total moment (μB/cell) = 3.91
- crystal system = tetragonal
- E above lowest polymorph (eV/atom) = 0.866

a b c (Å): 5.2786 5.2786 5.3792
angles (deg): 90.00 90.00 90.00
Space group P4/mmm (No. 123)
Symmetry-distinct sites (fractional):
Tl 0.0000 0.0000 0.0000 x1
P 0.0000 0.0000 0.5000 x1
H 0.5000 0.5000 0.5000 x1
S 0.0000 0.5000 0.0000 x2